Compound: FeWN2F
Source: Alexandria
Functional: PBE+U
Structure: relaxed

Geometry as CIF:
```
data_FeWN2F
_chemical_formula_sum 'Fe1 W1 N2 F1'
_cell_length_a 4.0373
_cell_length_b 4.0373
_cell_length_c 4.0628
_cell_angle_alpha 90.00
_cell_angle_beta 90.00
_cell_angle_gamma 90.00
_symmetry_space_group_name_H-M 'P 4/m m m'
_symmetry_Int_Tables_number 123
_symmetry_space_group_name_Hall '-P 4 2'
loop_
_atom_site_label
_atom_site_type_symbol
_atom_site_fract_x
_atom_site_fract_y
_atom_site_fract_z
Fe1 Fe 0.0000 0.0000 0.0000
W1 W 0.5000 0.5000 0.5000
N1 N 0.0000 0.5000 0.5000
F1 F 0.5000 0.5000 0.0000
```

Output
- D(E_F) (states/eV per cell) = 1.443
- energy above the lowest structure with this stoichiometry (meV/atom) = 0.0
- total magnetic moment (μB per formula unit) = 5.0